The following is a PBE calculation of crystalline PaCdGa4 at its relaxed geometry, from the Alexandria database.

Lattice parameters (Å, degrees): 7.829 7.829 7.829 90.00 90.00 90.00
Space group F-43m (No. 216)
Asymmetric unit:
1 Pa 0.000 0.000 0.000
2 Cd 0.250 0.250 0.750
3 Ga 0.125 0.125 0.375

## Properties
Formation energy ... -0.012 eV/atom
Total energy ... -3.76 eV per atom
Mass density ... 8.613 g cm⁻³